Record 1
An optimized crystal structure of TlPI5, computed with GGA-PBE.

Unit cell a=9.8012 b=11.5762 c=9.0687 alpha=115.64 beta=117.02 gamma=104.55
Last column: nearest neighbours and their distance in Å.
Atoms (fractional coordinates):
P 0.1505 0.4084 0.8038  3 I 2.47-2.54
P 0.8495 0.5916 0.1962  3 I 2.47-2.54
I 0.8064 0.7193 0.4558  1 P 2.47
I 0.3304 0.1413 0.2419  2 Tl 3.44-3.47, 3 I 3.49-3.54
I 0.2056 0.3014 0.9956  1 P 2.49
I 0.3476 0.7248 0.9744  1 P 2.89, 1 Tl 3.01
I 0.6696 0.8587 0.7581  2 Tl 3.44-3.47, 3 I 3.49-3.54
I 0.1894 0.6905 0.4179  1 P 2.54
I 0.6524 0.2752 0.0256  1 P 2.89, 1 Tl 3.01
I 0.1936 0.2807 0.5442  1 P 2.47
I 0.7944 0.6986 0.0044  1 P 2.49
I 0.8106 0.3095 0.5821  1 P 2.54
Tl 0.5000 0.0000 0.5000  6 I 3.47-3.62
Tl 0.5000 0.0000 0.0000  2 I 3.01

Values from the calculation:
- E: -2.373 eV per atom
- ΔE_f (raw): -155 meV per atom
- Space group: P-1, No. 2
- DOS(E_F): 0.52 states/eV/f.u.

---

Record 2
An optimized crystal structure of Tl3P5I12, computed with GGA-PBE.

Unit cell a=16.4765 b=16.4765 c=16.4765 alpha=109.47 beta=109.47 gamma=109.47
Last column: nearest neighbours and their distance in Å.
Atoms (fractional coordinates):
I 0.8185 0.8929 0.9961  2 P 2.70-2.89
I 0.0039 0.6071 0.1815  2 P 2.70-2.89
I 0.8929 0.8185 0.4961  2 P 2.70-2.89
I 0.1815 0.1071 0.0039  2 P 2.70-2.89
I 0.8223 0.3185 0.9256  2 P 2.70-2.89
I 0.8929 0.0744 0.8967  2 P 2.70-2.89
I 0.6033 0.9961 0.1777  2 P 2.70-2.89
I 0.0744 0.8929 0.3967  2 P 2.70-2.89
I 0.6071 0.6033 0.4256  2 P 2.70-2.89
I 0.3929 0.9961 0.3185  2 P 2.70-2.89
I 0.3967 0.3929 0.0744  2 P 2.70-2.89
I 0.5744 0.6777 0.6815  2 P 2.70-2.89
I 0.3929 0.3967 0.5744  2 P 2.70-2.89
I 0.1033 0.4256 0.1071  2 P 2.70-2.89
I 0.8185 0.9256 0.3223  2 P 2.70-2.89
I 0.3223 0.4256 0.8185  2 P 2.70-2.89
I 0.1777 0.4961 0.6033  2 P 2.70-2.89
I 0.9961 0.6033 0.6777  2 P 2.70-2.89
I 0.3967 0.0039 0.8223  2 P 2.70-2.89
I 0.0744 0.1815 0.1777  2 P 2.70-2.89
I 0.3185 0.8223 0.4256  2 P 2.70-2.89
I 0.4961 0.3185 0.8929  2 P 2.70-2.89
I 0.4256 0.3223 0.3185  2 P 2.70-2.89
I 0.0039 0.3967 0.3223  2 P 2.70-2.89
I 0.9961 0.3929 0.8185  2 P 2.70-2.89
I 0.6815 0.5039 0.6071  2 P 2.70-2.89
I 0.1815 0.0744 0.6777  2 P 2.70-2.89
I 0.4256 0.1033 0.6071  2 P 2.70-2.89
I 0.3223 0.8967 0.0039  2 P 2.70-2.89
I 0.1071 0.1815 0.5039  2 P 2.70-2.89
I 0.8967 0.3223 0.5039  2 P 2.70-2.89
I 0.8967 0.5744 0.8929  2 P 2.70-2.89
I 0.6777 0.5744 0.1815  2 P 2.70-2.89
I 0.5744 0.8967 0.3929  2 P 2.70-2.89
I 0.9256 0.8185 0.8223  2 P 2.70-2.89
I 0.6777 0.1033 0.9961  2 P 2.70-2.89
I 0.1071 0.9256 0.1033  2 P 2.70-2.89
I 0.9256 0.1071 0.6033  2 P 2.70-2.89
I 0.6815 0.1777 0.5744  2 P 2.70-2.89
I 0.5039 0.8223 0.8967  2 P 2.70-2.89
I 0.3185 0.4961 0.3929  2 P 2.70-2.89
I 0.1777 0.6815 0.0744  2 P 2.70-2.89
I 0.6033 0.6071 0.9256  2 P 2.70-2.89
I 0.5039 0.6815 0.1071  2 P 2.70-2.89
I 0.1033 0.6777 0.4961  2 P 2.70-2.89
I 0.6071 0.0039 0.6815  2 P 2.70-2.89
I 0.4961 0.1777 0.1033  2 P 2.70-2.89
I 0.8223 0.5039 0.3967  2 P 2.70-2.89
Tl 0.3750 0.6250 0.2500  8 I 3.79-4.17
Tl 0.2500 0.1250 0.3750  8 I 3.79-4.17
Tl 0.8750 0.1250 0.2500  8 I 3.79-4.17
Tl 0.3750 0.7500 0.6250  8 I 3.79-4.17
Tl 0.7500 0.8750 0.6250  8 I 3.79-4.17
Tl 0.2500 0.6250 0.8750  8 I 3.79-4.17
Tl 0.6250 0.3750 0.7500  8 I 3.79-4.17
Tl 0.1250 0.8750 0.7500  8 I 3.79-4.17
Tl 0.7500 0.3750 0.1250  8 I 3.79-4.17
Tl 0.8750 0.7500 0.1250  8 I 3.79-4.17
Tl 0.6250 0.2500 0.3750  8 I 3.79-4.17
Tl 0.1250 0.2500 0.8750  8 I 3.79-4.17
P 0.5000 0.0000 0.0000  6 I 2.89
P 0.3750 0.2500 0.1250  4 I 2.70
P 0.7500 0.6250 0.3750  4 I 2.70
P 0.2500 0.8750 0.1250  4 I 2.70
P 0.3750 0.1250 0.7500  4 I 2.70
P 0.8750 0.6250 0.7500  4 I 2.70
P 0.1250 0.7500 0.3750  4 I 2.70
P 0.5000 0.0000 0.5000  6 I 2.89
P 0.0000 0.5000 0.0000  6 I 2.89
P 0.2500 0.3750 0.6250  4 I 2.70
P 0.0000 0.0000 0.0000  6 I 2.89
P 0.6250 0.7500 0.8750  4 I 2.70
P 0.5000 0.5000 0.5000  6 I 2.89
P 0.7500 0.1250 0.8750  4 I 2.70
P 0.5000 0.5000 0.0000  6 I 2.89
P 0.6250 0.8750 0.2500  4 I 2.70
P 0.0000 0.5000 0.5000  6 I 2.89
P 0.0000 0.0000 0.5000  6 I 2.89
P 0.1250 0.3750 0.2500  4 I 2.70
P 0.8750 0.2500 0.6250  4 I 2.70

Values from the calculation:
- E: -2.528 eV per atom
- ΔE_f (raw): 109 meV per atom
- Space group: Ia-3d, No. 230
- DOS(E_F): 7.76 states/eV/f.u.

---

Record 3
An optimized crystal structure of Tl2PI, computed with GGA-PBE.

Unit cell a=7.8623 b=7.8623 c=7.3161 alpha=57.50 beta=57.50 gamma=90.00
Last column: nearest neighbours and their distance in Å.
Atoms (fractional coordinates):
I 0.7500 0.2500 0.5000  4 Tl 3.38
I 0.0000 0.0000 0.0000  4 Tl 3.38
Tl 0.5592 0.1250 0.2500  2 P 2.72
Tl 0.1908 0.6250 0.2500  2 P 2.72
Tl 0.3750 0.4408 0.7500  2 P 2.72
Tl 0.8750 0.8092 0.7500  2 P 2.72
P 0.5000 0.5000 0.0000  4 Tl 2.72
P 0.2500 0.7500 0.5000  4 Tl 2.72

Values from the calculation:
- Energy relative to the lowest polymorph listed for this composition: 0.00 eV per formula unit
- E: -2.846 eV per atom
- ΔE_f (raw): 78 meV per atom
- Space group: I-42d, No. 122
- DOS(E_F): 0.87 states/eV/f.u.

---

Record 4
An optimized crystal structure of Tl12P5I3, computed with GGA-PBE.

Unit cell a=15.8453 b=15.8453 c=15.8453 alpha=109.47 beta=109.47 gamma=109.47
Last column: nearest neighbours and their distance in Å.
Atoms (fractional coordinates):
Tl 0.1748 0.0940 0.9726  2 P 2.77-2.93
Tl 0.5274 0.2022 0.1214  2 P 2.77-2.93
Tl 0.2978 0.8786 0.9726  2 P 2.77-2.93
Tl 0.3786 0.4060 0.0807  2 P 2.77-2.93
Tl 0.4726 0.6748 0.0940  2 P 2.77-2.93
Tl 0.8252 0.9193 0.2978  2 P 2.77-2.93
Tl 0.5940 0.6214 0.4193  2 P 2.77-2.93
Tl 0.3252 0.5274 0.4060  2 P 2.77-2.93
Tl 0.3252 0.7978 0.4193  2 P 2.77-2.93
Tl 0.2022 0.5274 0.6214  2 P 2.77-2.93
Tl 0.5807 0.7022 0.6748  2 P 2.77-2.93
Tl 0.0274 0.4060 0.8252  2 P 2.77-2.93
Tl 0.5807 0.8786 0.4060  2 P 2.77-2.93
Tl 0.4726 0.7978 0.8786  2 P 2.77-2.93
Tl 0.1748 0.0807 0.7022  2 P 2.77-2.93
Tl 0.8786 0.2978 0.4726  2 P 2.77-2.93
Tl 0.0940 0.9193 0.1214  2 P 2.77-2.93
Tl 0.3786 0.9726 0.7978  2 P 2.77-2.93
Tl 0.5274 0.3252 0.9060  2 P 2.77-2.93
Tl 0.0940 0.1748 0.4726  2 P 2.77-2.93
Tl 0.1214 0.4193 0.0940  2 P 2.77-2.93
Tl 0.2022 0.6748 0.0807  2 P 2.77-2.93
Tl 0.9193 0.0940 0.6214  2 P 2.77-2.93
Tl 0.9193 0.8252 0.7978  2 P 2.77-2.93
Tl 0.4193 0.1214 0.5940  2 P 2.77-2.93
Tl 0.1214 0.7022 0.5274  2 P 2.77-2.93
Tl 0.5940 0.9726 0.6748  2 P 2.77-2.93
Tl 0.0274 0.6214 0.7022  2 P 2.77-2.93
Tl 0.4193 0.2978 0.3252  2 P 2.77-2.93
Tl 0.8786 0.5807 0.9060  2 P 2.77-2.93
Tl 0.6748 0.4726 0.5940  2 P 2.77-2.93
Tl 0.6214 0.5940 0.9193  2 P 2.77-2.93
Tl 0.2978 0.4193 0.8252  2 P 2.77-2.93
Tl 0.0807 0.1748 0.2022  2 P 2.77-2.93
Tl 0.8252 0.9060 0.0274  2 P 2.77-2.93
Tl 0.9726 0.3786 0.2978  2 P 2.77-2.93
Tl 0.6748 0.2022 0.5807  2 P 2.77-2.93
Tl 0.7978 0.3252 0.9193  2 P 2.77-2.93
Tl 0.4060 0.3786 0.5807  2 P 2.77-2.93
Tl 0.4060 0.0274 0.3252  2 P 2.77-2.93
Tl 0.6214 0.0274 0.2022  2 P 2.77-2.93
Tl 0.9726 0.5940 0.1748  2 P 2.77-2.93
Tl 0.7022 0.1214 0.0274  2 P 2.77-2.93
Tl 0.7022 0.5807 0.1748  2 P 2.77-2.93
Tl 0.7978 0.4726 0.3786  2 P 2.77-2.93
Tl 0.0807 0.9060 0.3786  2 P 2.77-2.93
Tl 0.9060 0.8252 0.5274  2 P 2.77-2.93
Tl 0.9060 0.0807 0.8786  2 P 2.77-2.93
I 0.7500 0.3750 0.1250  8 Tl 3.49-3.64
I 0.3750 0.6250 0.2500  8 Tl 3.49-3.64
I 0.6250 0.3750 0.7500  8 Tl 3.49-3.64
I 0.7500 0.8750 0.6250  8 Tl 3.49-3.64
I 0.8750 0.1250 0.2500  8 Tl 3.49-3.64
I 0.2500 0.1250 0.3750  8 Tl 3.49-3.64
I 0.1250 0.8750 0.7500  8 Tl 3.49-3.64
I 0.1250 0.2500 0.8750  8 Tl 3.49-3.64
I 0.6250 0.2500 0.3750  8 Tl 3.49-3.64
I 0.3750 0.7500 0.6250  8 Tl 3.49-3.64
I 0.2500 0.6250 0.8750  8 Tl 3.49-3.64
I 0.8750 0.7500 0.1250  8 Tl 3.49-3.64
P 0.6250 0.8750 0.2500  4 Tl 2.77
P 0.2500 0.8750 0.1250  4 Tl 2.77
P 0.5000 0.0000 0.0000  6 Tl 2.93
P 0.0000 0.5000 0.5000  6 Tl 2.93
P 0.5000 0.5000 0.0000  6 Tl 2.93
P 0.3750 0.1250 0.7500  4 Tl 2.77
P 0.8750 0.2500 0.6250  4 Tl 2.77
P 0.0000 0.5000 0.0000  6 Tl 2.93
P 0.7500 0.1250 0.8750  4 Tl 2.77
P 0.1250 0.7500 0.3750  4 Tl 2.77
P 0.1250 0.3750 0.2500  4 Tl 2.77
P 0.0000 0.0000 0.0000  6 Tl 2.93
P 0.5000 0.0000 0.5000  6 Tl 2.93
P 0.0000 0.0000 0.5000  6 Tl 2.93
P 0.3750 0.2500 0.1250  4 Tl 2.77
P 0.8750 0.6250 0.7500  4 Tl 2.77
P 0.7500 0.6250 0.3750  4 Tl 2.77
P 0.5000 0.5000 0.5000  6 Tl 2.93
P 0.6250 0.7500 0.8750  4 Tl 2.77
P 0.2500 0.3750 0.6250  4 Tl 2.77

Values from the calculation:
- E: -2.880 eV per atom
- ΔE_f (raw): 125 meV per atom
- Space group: Ia-3d, No. 230
- DOS(E_F): 16.76 states/eV/f.u.

---

Record 5
An optimized crystal structure of TlPI4, computed with GGA-PBE.

Unit cell a=9.7616 b=13.2463 c=9.6378 alpha=90.00 beta=90.00 gamma=63.98
Last column: nearest neighbours and their distance in Å.
Atoms (fractional coordinates):
I 0.1345 0.9132 0.1450  1 P 2.51
I 0.8655 0.0868 0.8550  1 P 2.51
I 0.0774 0.3335 0.6439  3 Tl 3.37-3.60, 2 I 3.59-3.62
I 0.3655 0.5868 0.6450  1 P 2.51
I 0.6610 0.5681 0.0164  1 P 2.49
I 0.8390 0.9319 0.5164  1 P 2.49
I 0.4900 0.2033 0.6381  1 P 2.52
I 0.5100 0.7967 0.3619  1 P 2.52
I 0.5774 0.8335 0.8561  3 Tl 3.37-3.60, 2 I 3.59-3.62
I 0.9900 0.7033 0.8619  1 P 2.52
I 0.6345 0.4132 0.3550  1 P 2.51
I 0.3390 0.4319 0.9836  1 P 2.49
I 0.4226 0.1665 0.1439  3 Tl 3.37-3.60, 2 I 3.59-3.62
I 0.0100 0.2967 0.1381  1 P 2.52
I 0.1610 0.0681 0.4836  1 P 2.49
I 0.9226 0.6665 0.3561  3 Tl 3.37-3.60, 2 I 3.59-3.62
P 0.2743 0.6236 0.8917  3 I 2.49-2.52
P 0.2257 0.8764 0.3917  3 I 2.49-2.52
P 0.7257 0.3764 0.1083  3 I 2.49-2.52
P 0.7743 0.1236 0.6083  3 I 2.49-2.52
Tl 0.2254 0.4052 0.3660  4 I 3.37-3.74
Tl 0.7746 0.5948 0.6340  4 I 3.37-3.74
Tl 0.7254 0.9052 0.1340  4 I 3.37-3.74
Tl 0.2746 0.0948 0.8660  4 I 3.37-3.74

Values from the calculation:
- E: -2.547 eV per atom
- ΔE_f (raw): -218 meV per atom
- Space group: P2_1/c, No. 14
- DOS(E_F): 0.00 states/eV/f.u.

---

Record 6
An optimized crystal structure of Tm4PI5, computed with GGA-PBE.

Unit cell a=4.0746 b=8.5940 c=9.6521 alpha=102.39 beta=102.19 gamma=90.00
Last column: nearest neighbours and their distance in Å.
Atoms (fractional coordinates):
I 0.8354 0.6634 0.6709  3 Tm 3.02-3.08
I 0.1704 0.8278 0.3409  3 Tm 3.06-3.16
I 0.1646 0.3366 0.3291  3 Tm 3.02-3.08
I 0.8296 0.1722 0.6591  3 Tm 3.06-3.16
I 0.5000 0.5000 0.0000  4 Tm 3.27
Tm 0.6402 0.0701 0.2804  1 P 2.58
Tm 0.3598 0.9299 0.7196  1 P 2.58
Tm 0.0005 0.7979 0.0011  2 P 2.68
Tm 0.9995 0.2021 0.9989  2 P 2.68
P 0.5000 0.0000 0.0000  6 Tm 2.58-2.68

Values from the calculation:
- E: -4.343 eV per atom
- ΔE_f (raw): -1239 meV per atom
- Space group: C2/m, No. 12
- DOS(E_F): 3.35 states/eV/f.u.

---

Record 7
An optimized crystal structure of Tm3PI3, computed with GGA-PBE.

Unit cell a=6.9743 b=6.9743 c=11.8551 alpha=72.89 beta=72.89 gamma=60.00
Last column: nearest neighbours and their distance in Å.
Atoms (fractional coordinates):
Tm 0.2970 0.6176 0.1281  2 P 2.71
Tm 0.0427 0.7030 0.8719  2 P 2.71
Tm 0.3824 0.0427 0.8719  2 P 2.71
Tm 0.9573 0.2970 0.1281  2 P 2.71
Tm 0.6176 0.9573 0.1281  2 P 2.71
Tm 0.7030 0.3824 0.8719  2 P 2.71
I 0.1033 0.4352 0.6901  3 Tm 3.06-3.10
I 0.5648 0.2286 0.3099  3 Tm 3.06-3.10
I 0.4352 0.7714 0.6901  3 Tm 3.06-3.10
I 0.2286 0.8967 0.3099  3 Tm 3.06-3.10
I 0.7714 0.1033 0.6901  3 Tm 3.06-3.10
I 0.8967 0.5648 0.3099  3 Tm 3.06-3.10
P 0.6667 0.6667 0.0000  6 Tm 2.71
P 0.3333 0.3333 0.0000  6 Tm 2.71

Values from the calculation:
- E: -4.629 eV per atom
- ΔE_f (raw): -1276 meV per atom
- Space group: R-3, No. 148
- DOS(E_F): 2.57 states/eV/f.u.

---

Record 8
An optimized crystal structure of UPI, computed with GGA-PBE.

Unit cell a=4.0169 b=3.7502 c=12.9194 alpha=74.51 beta=82.64 gamma=90.00
Last column: nearest neighbours and their distance in Å.
Atoms (fractional coordinates):
P 0.0300 0.4878 0.3863  5 U 2.74-2.79
P 0.6061 0.1568 0.2020  5 U 2.74-2.79
I 0.4315 0.2674 0.6263  2 U 3.12
I 0.2049 0.3771 0.9621  2 U 3.12
U 0.1219 0.6918 0.1639  5 P 2.74-2.79
U 0.5143 0.9528 0.4244  5 P 2.74-2.79

Values from the calculation:
- Energy relative to the lowest polymorph listed for this composition: 0.00 eV per formula unit
- E: -6.881 eV per atom
- ΔE_f (raw): -798 meV per atom
- Space group: P-1, No. 2
- DOS(E_F): 5.18 states/eV/f.u.